Material: MgBeReSn2
Method: DFT, GGA-PBE
State: optimized geometry

Summary:
- calculated volume (Å³ per cell) = 97.9
- formation enthalpy at 0 K (eV per atom) = 0.708

Cell and atoms, written as CIF:
```
data_MgBeReSn2
_chemical_formula_sum 'Mg1 Be1 Re1 Sn2'
_symmetry_space_group_name_H-M 'P 4/m m m'
_symmetry_Int_Tables_number 123
_symmetry_space_group_name_Hall '-P 4 2'
_cell_length_a 4.770
_cell_length_b 4.770
_cell_length_c 4.301
_cell_angle_alpha 90.00
_cell_angle_beta 90.00
_cell_angle_gamma 90.00
loop_
_atom_site_label
_atom_site_type_symbol
_atom_site_fract_x
_atom_site_fract_y
_atom_site_fract_z
Mg1 Mg 0.000 0.000 0.000
Be1 Be 0.500 0.500 0.500
Re1 Re 0.500 0.500 0.000
Sn1 Sn 0.000 0.500 0.500
```


Material: TaMn2Au
Method: DFT, GGA-PBE
State: optimized geometry

Summary:
- calculated volume (Å³ per cell) = 127.5
- formation enthalpy at 0 K (eV per atom) = 0.165

Cell and atoms, written as CIF:
```
data_TaMn2Au
_chemical_formula_sum 'Ta2 Mn4 Au2'
_symmetry_space_group_name_H-M 'C 1 2/m 1'
_symmetry_Int_Tables_number 12
_cell_length_a 8.938
_cell_length_b 2.998
_cell_length_c 4.909
_cell_angle_alpha 90.00
_cell_angle_beta 104.19
_cell_angle_gamma 90.00
loop_
_symmetry_equiv_pos_as_xyz
'x,y,z'
'-x,-y,-z'
'-x,y,-z'
'x,-y,z'
'x+1/2,y+1/2,z'
'-x+1/2,-y+1/2,-z'
'-x+1/2,y+1/2,-z'
'x+1/2,-y+1/2,z'
loop_
_atom_site_label
_atom_site_type_symbol
_atom_site_fract_x
_atom_site_fract_y
_atom_site_fract_z
Ta1 Ta 0.000 0.000 0.000
Mn1 Mn 0.249 0.500 0.239
Au1 Au 0.000 0.500 0.500
```


Material: Sc2VGeC
Method: DFT, GGA-PBE
State: optimized geometry

Summary:
- calculated volume (Å³ per cell) = 79.6
- formation enthalpy at 0 K (eV per atom) = -0.553

Cell and atoms, written as CIF:
```
data_Sc2VGeC
_chemical_formula_sum 'Sc2 V1 Ge1 C1'
_symmetry_space_group_name_H-M 'P 4/m m m'
_symmetry_Int_Tables_number 123
_symmetry_space_group_name_Hall '-P 4 2'
_cell_length_a 4.471
_cell_length_b 4.471
_cell_length_c 3.983
_cell_angle_alpha 90.00
_cell_angle_beta 90.00
_cell_angle_gamma 90.00
loop_
_atom_site_label
_atom_site_type_symbol
_atom_site_fract_x
_atom_site_fract_y
_atom_site_fract_z
Sc1 Sc 0.000 0.500 0.000
V1 V 0.000 0.000 0.500
Ge1 Ge 0.500 0.500 0.500
C1 C 0.000 0.000 0.000
```


Material: Ca2BePN4
Method: DFT, GGA-PBE
State: optimized geometry

Summary:
- calculated volume (Å³ per cell) = 192.0
- formation energy from raw total energies (eV per atom) = -0.807

Cell and atoms, written as CIF:
```
data_Ca2BePN4
_chemical_formula_sum 'Ca4 Be2 P2 N8'
_symmetry_space_group_name_H-M 'P m m n'
_symmetry_Int_Tables_number 59
_cell_length_a 5.311
_cell_length_b 6.435
_cell_length_c 5.616
_cell_angle_alpha 90.00
_cell_angle_beta 90.00
_cell_angle_gamma 90.00
loop_
_symmetry_equiv_pos_as_xyz
'x,y,z'
'-x,-y,-z'
'-x+1/2,-y+1/2,z'
'x+1/2,y+1/2,-z'
'x+1/2,-y,-z'
'-x+1/2,y,z'
'-x,y+1/2,-z'
'x,-y+1/2,z'
loop_
_atom_site_label
_atom_site_type_symbol
_atom_site_fract_x
_atom_site_fract_y
_atom_site_fract_z
Ca1 Ca 0.250 0.001 0.250
Be1 Be 0.250 0.250 0.664
P1 P 0.250 0.750 0.677
N1 N 0.005 0.750 0.500
N2 N 0.250 0.529 0.829
```


Material: RbLi2TlRh
Method: DFT, GGA-PBE
State: optimized geometry

Summary:
- calculated volume (Å³ per cell) = 137.6
- formation enthalpy at 0 K (eV per atom) = 0.011

Cell and atoms, written as CIF:
```
data_RbLi2TlRh
_chemical_formula_sum 'Rb1 Li2 Tl1 Rh1'
_symmetry_space_group_name_H-M 'P 4/m m m'
_symmetry_Int_Tables_number 123
_symmetry_space_group_name_Hall '-P 4 2'
_cell_length_a 5.101
_cell_length_b 5.101
_cell_length_c 5.287
_cell_angle_alpha 90.00
_cell_angle_beta 90.00
_cell_angle_gamma 90.00
loop_
_atom_site_label
_atom_site_type_symbol
_atom_site_fract_x
_atom_site_fract_y
_atom_site_fract_z
Rb1 Rb 0.000 0.000 0.000
Li1 Li 0.000 0.500 0.500
Tl1 Tl 0.500 0.500 0.000
Rh1 Rh 0.500 0.500 0.500
```


Material: Ga3SiOs
Method: DFT, GGA-PBE
State: optimized geometry

Summary:
- calculated volume (Å³ per cell) = 111.4
- formation energy from raw total energies (eV per atom) = 0.531

Cell and atoms, written as CIF:
```
data_Ga3SiOs
_chemical_formula_sum 'Ga3 Si1 Os1'
_symmetry_space_group_name_H-M 'P m -3 m'
_symmetry_Int_Tables_number 221
_symmetry_space_group_name_Hall '-P 4 2 3'
_cell_length_a 4.812
_cell_length_b 4.812
_cell_length_c 4.812
_cell_angle_alpha 90.00
_cell_angle_beta 90.00
_cell_angle_gamma 90.00
loop_
_atom_site_label
_atom_site_type_symbol
_atom_site_fract_x
_atom_site_fract_y
_atom_site_fract_z
Ga1 Ga 0.000 0.000 0.500
Si1 Si 0.500 0.500 0.500
Os1 Os 0.000 0.000 0.000
```


Material: Y4Fe3B6
Method: DFT, GGA-PBE
State: optimized geometry

Summary:
- calculated volume (Å³ per cell) = 539.7
- formation enthalpy at 0 K (eV per atom) = -0.385

Cell and atoms, written as CIF:
```
data_Y4Fe3B6
_chemical_formula_sum 'Y12 Fe9 B18'
_symmetry_space_group_name_H-M 'R -3 m'
_symmetry_Int_Tables_number 166
_symmetry_space_group_name_Hall '-R 3 2"'
_cell_length_a 5.3352
_cell_length_b 5.3352
_cell_length_c 21.8959
_cell_angle_alpha 90.00
_cell_angle_beta 90.00
_cell_angle_gamma 120.00
loop_
_atom_site_label
_atom_site_type_symbol
_atom_site_fract_x
_atom_site_fract_y
_atom_site_fract_z
Y1 Y 0.0000 0.0000 0.0879
Y2 Y 0.0000 0.0000 0.2442
Fe1 Fe 0.0000 0.0000 0.3866
Fe2 Fe 0.0000 0.0000 0.5000
B1 B 0.0000 0.3326 0.0000
```


Material: Ti8Co3NiSn4
Method: DFT, GGA-PBE
State: optimized geometry

Summary:
- calculated volume (Å³ per cell) = 800.2
- formation enthalpy at 0 K (eV per atom) = -0.193

Cell and atoms, written as CIF:
```
data_Ti8Co3NiSn4
_chemical_formula_sum 'Ti24 Co9 Ni3 Sn12'
_symmetry_space_group_name_H-M 'R -3 m'
_symmetry_Int_Tables_number 166
_symmetry_space_group_name_Hall '-R 3 2"'
_cell_length_a 4.5091
_cell_length_b 4.5091
_cell_length_c 45.4433
_cell_angle_alpha 90.00
_cell_angle_beta 90.00
_cell_angle_gamma 120.00
loop_
_atom_site_label
_atom_site_type_symbol
_atom_site_fract_x
_atom_site_fract_y
_atom_site_fract_z
Ti1 Ti 0.0000 0.0000 0.0617
Ti2 Ti 0.0000 0.0000 0.1860
Ti3 Ti 0.0000 0.0000 0.3120
Ti4 Ti 0.0000 0.0000 0.4346
Co1 Co 0.0000 0.0000 0.0000
Co2 Co 0.0000 0.0000 0.2368
Ni1 Ni 0.0000 0.0000 0.5000
Sn1 Sn 0.0000 0.0000 0.1236
Sn2 Sn 0.0000 0.0000 0.3735
```


Material: Li2Ge2Te
Method: DFT, GGA-PBE
State: optimized geometry

Summary:
- calculated volume (Å³ per cell) = 218.9
- formation energy from raw total energies (eV per atom) = -0.227

Cell and atoms, written as CIF:
```
data_Li2Ge2Te
_chemical_formula_sum 'Li4 Ge4 Te2'
_symmetry_space_group_name_H-M 'I 4/m m m'
_symmetry_Int_Tables_number 139
_symmetry_space_group_name_Hall '-I 4 2'
_cell_length_a 3.654
_cell_length_b 3.654
_cell_length_c 16.394
_cell_angle_alpha 90.00
_cell_angle_beta 90.00
_cell_angle_gamma 90.00
loop_
_atom_site_label
_atom_site_type_symbol
_atom_site_fract_x
_atom_site_fract_y
_atom_site_fract_z
Li1 Li 0.000 0.000 0.096
Ge1 Ge 0.000 0.500 0.250
Te1 Te 0.000 0.000 0.500
```


Material: Dy2Zr2N3
Method: DFT, GGA-PBE
State: optimized geometry

Summary:
- calculated volume (Å³ per cell) = 109.5
- formation energy from raw total energies (eV per atom) = -1.483

Cell and atoms, written as CIF:
```
data_Dy2Zr2N3
_chemical_formula_sum 'Dy2 Zr2 N3'
_symmetry_space_group_name_H-M 'P -1'
_symmetry_Int_Tables_number 2
_cell_length_a 3.410
_cell_length_b 5.784
_cell_length_c 5.989
_cell_angle_alpha 75.88
_cell_angle_beta 73.49
_cell_angle_gamma 90.00
loop_
_symmetry_equiv_pos_as_xyz
'x,y,z'
'-x,-y,-z'
loop_
_atom_site_label
_atom_site_type_symbol
_atom_site_fract_x
_atom_site_fract_y
_atom_site_fract_z
Dy1 Dy 0.121 0.360 0.259
Zr1 Zr 0.359 0.147 0.780
N1 N 0.249 0.757 0.002
N2 N 0.500 0.500 0.500
```


Material: Ce2PmMg
Method: DFT, GGA-PBE
State: optimized geometry

Summary:
- calculated volume (Å³ per cell) = 485.1
- formation enthalpy at 0 K (eV per atom) = 0.195

Cell and atoms, written as CIF:
```
data_Ce2PmMg
_chemical_formula_sum 'Ce8 Pm4 Mg4'
_symmetry_space_group_name_H-M 'F m -3 m'
_symmetry_Int_Tables_number 225
_symmetry_space_group_name_Hall '-F 4 2 3'
_cell_length_a 7.857
_cell_length_b 7.857
_cell_length_c 7.857
_cell_angle_alpha 90.00
_cell_angle_beta 90.00
_cell_angle_gamma 90.00
loop_
_atom_site_label
_atom_site_type_symbol
_atom_site_fract_x
_atom_site_fract_y
_atom_site_fract_z
Ce1 Ce 0.250 0.250 0.250
Pm1 Pm 0.000 0.000 0.000
Mg1 Mg 0.000 0.000 0.500
```


Material: BaYRh2
Method: DFT, GGA-PBE
State: optimized geometry

Summary:
- calculated volume (Å³ per cell) = 94.2
- formation enthalpy at 0 K (eV per atom) = -0.388

Cell and atoms, written as CIF:
```
data_BaYRh2
_chemical_formula_sum 'Ba1 Y1 Rh2'
_symmetry_space_group_name_H-M 'P 4/m m m'
_symmetry_Int_Tables_number 123
_symmetry_space_group_name_Hall '-P 4 2'
_cell_length_a 3.514
_cell_length_b 3.514
_cell_length_c 7.627
_cell_angle_alpha 90.00
_cell_angle_beta 90.00
_cell_angle_gamma 90.00
loop_
_atom_site_label
_atom_site_type_symbol
_atom_site_fract_x
_atom_site_fract_y
_atom_site_fract_z
Ba1 Ba 0.000 0.000 0.000
Y1 Y 0.000 0.000 0.500
Rh1 Rh 0.500 0.500 0.295
```


Material: As2IrBr
Method: DFT, GGA-PBE
State: optimized geometry

Summary:
- calculated volume (Å³ per cell) = 74.6
- formation energy from raw total energies (eV per atom) = 0.814

Cell and atoms, written as CIF:
```
data_As2IrBr
_chemical_formula_sum 'As2 Ir1 Br1'
_symmetry_space_group_name_H-M 'P 4/m m m'
_symmetry_Int_Tables_number 123
_symmetry_space_group_name_Hall '-P 4 2'
_cell_length_a 3.862
_cell_length_b 3.862
_cell_length_c 5.002
_cell_angle_alpha 90.00
_cell_angle_beta 90.00
_cell_angle_gamma 90.00
loop_
_atom_site_label
_atom_site_type_symbol
_atom_site_fract_x
_atom_site_fract_y
_atom_site_fract_z
As1 As 0.000 0.500 0.000
Ir1 Ir 0.000 0.000 0.500
Br1 Br 0.500 0.500 0.500
```


Material: KPIrAuO
Method: DFT, GGA-PBE
State: optimized geometry

Summary:
- calculated volume (Å³ per cell) = 107.4
- formation energy from raw total energies (eV per atom) = -0.781

Cell and atoms, written as CIF:
```
data_KPIrAuO
_chemical_formula_sum 'K1 P1 Ir1 Au1 O1'
_symmetry_space_group_name_H-M 'P 1'
_symmetry_Int_Tables_number 1
_cell_length_a 3.618
_cell_length_b 4.288
_cell_length_c 7.433
_cell_angle_alpha 106.12
_cell_angle_beta 103.54
_cell_angle_gamma 90.00
loop_
_symmetry_equiv_pos_as_xyz
'x,y,z'
loop_
_atom_site_label
_atom_site_type_symbol
_atom_site_fract_x
_atom_site_fract_y
_atom_site_fract_z
K1 K 0.000 0.000 0.000
P1 P 0.662 0.662 0.336
Ir1 Ir 0.247 0.747 0.514
Au1 Au 0.754 0.255 0.529
O1 O 0.555 0.555 0.114
```


Material: CuP4N7
Method: DFT, GGA-PBE
State: optimized geometry

Summary:
- calculated volume (Å³ per cell) = 284.4
- formation energy from raw total energies (eV per atom) = -0.234

Cell and atoms, written as CIF:
```
data_CuP4N7
_chemical_formula_sum 'Cu2 P8 N14'
_symmetry_space_group_name_H-M 'P m n 21'
_symmetry_Int_Tables_number 31
_cell_length_a 12.174
_cell_length_b 4.990
_cell_length_c 4.681
_cell_angle_alpha 90.00
_cell_angle_beta 90.00
_cell_angle_gamma 90.00
loop_
_symmetry_equiv_pos_as_xyz
'x,y,z'
'-x+1/2,-y,z+1/2'
'-x,y,z'
'x+1/2,-y,z+1/2'
loop_
_atom_site_label
_atom_site_type_symbol
_atom_site_fract_x
_atom_site_fract_y
_atom_site_fract_z
Cu1 Cu 0.000 0.163 0.000
P1 P 0.120 0.669 0.077
P2 P 0.249 0.825 0.547
N1 N 0.000 0.768 0.970
N2 N 0.139 0.732 0.407
N3 N 0.141 0.355 0.996
N4 N 0.218 0.869 0.904
```


Material: EuBeRh
Method: DFT, GGA-PBE
State: optimized geometry

Summary:
- calculated volume (Å³ per cell) = 57.5
- formation enthalpy at 0 K (eV per atom) = -0.369

Cell and atoms, written as CIF:
```
data_EuBeRh
_chemical_formula_sum 'Eu1 Be1 Rh1'
_symmetry_space_group_name_H-M 'P -6 m 2'
_symmetry_Int_Tables_number 187
_symmetry_space_group_name_Hall 'P -6 2'
_cell_length_a 3.9170
_cell_length_b 3.9170
_cell_length_c 4.3253
_cell_angle_alpha 90.00
_cell_angle_beta 90.00
_cell_angle_gamma 120.00
loop_
_atom_site_label
_atom_site_type_symbol
_atom_site_fract_x
_atom_site_fract_y
_atom_site_fract_z
Eu1 Eu 0.0000 0.0000 0.0000
Be1 Be 0.3333 0.6667 0.5000
Rh1 Rh 0.6667 0.3333 0.5000
```


Material: Cs5Na2Hg
Method: DFT, GGA-PBE
State: optimized geometry

Summary:
- calculated volume (Å³ per cell) = 1173.4
- formation enthalpy at 0 K (eV per atom) = -0.037

Cell and atoms, written as CIF:
```
data_Cs5Na2Hg
_chemical_formula_sum 'Cs10 Na4 Hg2'
_symmetry_space_group_name_H-M 'P b a m'
_symmetry_Int_Tables_number 55
_cell_length_a 9.358
_cell_length_b 17.743
_cell_length_c 7.067
_cell_angle_alpha 90.00
_cell_angle_beta 90.00
_cell_angle_gamma 90.00
loop_
_symmetry_equiv_pos_as_xyz
'x,y,z'
'-x,-y,-z'
'-x,-y,z'
'x,y,-z'
'x+1/2,-y+1/2,-z'
'-x+1/2,y+1/2,z'
'-x+1/2,y+1/2,-z'
'x+1/2,-y+1/2,z'
loop_
_atom_site_label
_atom_site_type_symbol
_atom_site_fract_x
_atom_site_fract_y
_atom_site_fract_z
Cs1 Cs 0.000 0.000 0.000
Cs2 Cs 0.110 0.285 0.000
Cs3 Cs 0.170 0.593 0.500
Na1 Na 0.144 0.855 0.500
Hg1 Hg 0.000 0.500 0.000
```